[1]
First-principles (PBE) data for Y2HfMn2 after structural relaxation, as listed in Alexandria.

Cell: 6.8339 6.8339 4.5807 Å, 90.00 90.00 90.00°
Each line ends with the local moment (μB).
Fractional positions:
Y  0.8202  0.3202  0.5000  -0.11
Mn  0.1117  0.3883  0.0000  1.65
Mn  0.8883  0.6117  0.0000  1.65
Mn  0.3883  0.8883  0.0000  1.65
Y  0.3202  0.1798  0.5000  -0.11
Y  0.1798  0.6798  0.5000  -0.11
Hf  0.5000  0.5000  0.0000  -0.08
Mn  0.6117  0.1117  0.0000  1.65
Y  0.6798  0.8202  0.5000  -0.11
Hf  0.0000  0.0000  0.0000  -0.08

Computed properties:
VASP energy = -8.070 eV per atom

[2]
First-principles (PBE) data for Zn2InI after structural relaxation, as listed in Alexandria.

Cell: 6.8647 6.8647 7.6032 Å, 63.16 63.16 90.00°
Fractional positions:
I  0.0000  0.0000  0.0000
In  0.2500  0.7500  0.5000
Zn  0.5943  0.1250  0.2500
Zn  0.3750  0.4057  0.7500
I  0.7500  0.2500  0.5000
Zn  0.1557  0.6250  0.2500
In  0.5000  0.5000  0.0000
Zn  0.8750  0.8443  0.7500

Computed properties:
Energy above the lowest structure with this stoichiometry = 0.000 eV per atom
Uncorrected formation energy = 0.111 eV per atom

[3]
First-principles (PBE) data for Dy6Y5Tm2 after structural relaxation, as listed in Alexandria.

Cell: 3.5802 11.2750 20.8911 Å, 90.00 90.00 90.00°
Fractional positions:
Dy  0.5000  0.3565  0.1481
Dy  0.0000  0.1119  0.3766
Y  0.5000  0.3903  0.7374
Y  0.5000  0.1654  0.9514
Tm  0.0000  0.3576  0.2957
Y  0.5000  0.6097  0.2626
Dy  0.5000  0.8565  0.3519
Dy  0.0000  0.4099  0.5941
Tm  0.0000  0.1424  0.7957
Dy  0.0000  0.6119  0.1234
Y  0.5000  0.0000  0.5000
Dy  0.0000  0.0901  0.0941
Y  0.5000  0.8346  0.0486
Y  0.5000  0.8903  0.7626
Dy  0.0000  0.5901  0.4059
Dy  0.0000  0.9099  0.9059
Dy  0.0000  0.3881  0.8766
Dy  0.5000  0.6435  0.8519
Y  0.5000  0.1097  0.2374
Tm  0.0000  0.6424  0.7043
Y  0.5000  0.6654  0.5486
Tm  0.0000  0.8576  0.2043
Y  0.5000  0.3346  0.4514
Dy  0.5000  0.1435  0.6481
Y  0.5000  0.5000  0.0000
Dy  0.0000  0.8881  0.6234

Computed properties:
VASP energy = -5.184 eV per atom

[4]
First-principles (PBE) data for YPuH2O6 after structural relaxation, as listed in Alexandria.

Cell: 5.4352 5.6363 5.9307 Å, 64.19 62.49 56.20°
Each line ends with the local moment (μB).
Fractional positions:
H  0.1966  0.9013  0.8224  0.00
H  0.4357  0.7310  0.2805  0.00
Y  0.8161  0.8162  0.5515  -0.01
O  0.2344  0.9048  0.2969  -0.02
O  0.5471  0.2113  0.2727  -0.07
O  0.0852  0.4210  0.8303  -0.07
Pu  0.3162  0.3162  0.0515  1.36
O  0.3979  0.7275  0.8061  -0.02
O  0.6855  0.0904  0.8214  -0.07
O  0.9469  0.5419  0.2817  -0.07

Computed properties:
VASP energy = -7.933 eV per atom

[5]
First-principles (PBE) data for Mg2ZrS after structural relaxation, as listed in Alexandria.

Cell: 7.9762 7.9762 6.2200 Å, 50.12 50.12 90.00°
Fractional positions:
Zr  0.0000  0.0000  0.0000
Mg  0.5602  0.1250  0.2500
Mg  0.8750  0.8102  0.7500
Zr  0.7500  0.2500  0.5000
S  0.5000  0.5000  0.0000
Mg  0.1898  0.6250  0.2500
S  0.2500  0.7500  0.5000
Mg  0.3750  0.4398  0.7500

Computed properties:
Energy above the lowest structure with this stoichiometry = 0.000 eV per atom
Uncorrected formation energy = -0.313 eV per atom

[6]
First-principles (PBE) data for Cu4I3Br after structural relaxation, as listed in Alexandria.

Cell: 6.9251 6.9251 6.9002 Å, 79.84 79.84 33.78°
Fractional positions:
I  0.7544  0.7544  0.7437
Br  0.5000  0.5000  0.5000
Cu  0.8788  0.8788  0.3798
I  0.2456  0.2456  0.2563
I  0.0000  0.0000  0.0000
Cu  0.1212  0.1212  0.6202
Cu  0.3732  0.3732  0.8677
Cu  0.6268  0.6268  0.1323

Computed properties:
Energy above the lowest structure with this stoichiometry = 0.217 eV per atom
Uncorrected formation energy = 0.061 eV per atom

[7]
First-principles (PBE) data for Ac6P3HS2 after structural relaxation, as listed in Alexandria.

Cell: 4.3669 8.6814 9.6707 Å, 102.57 103.05 90.00°
Fractional positions:
Ac  0.0017  0.7442  0.0033
Ac  0.3323  0.9193  0.6645
P  0.8325  0.1656  0.6650
P  0.5000  0.5000  0.0000
Ac  0.9983  0.2558  0.9967
S  0.1648  0.3315  0.3297
S  0.8352  0.6685  0.6703
Ac  0.6669  0.5867  0.3338
H  0.5000  0.0000  0.0000
P  0.1675  0.8344  0.3350
Ac  0.3331  0.4133  0.6662
Ac  0.6677  0.0807  0.3355

Computed properties:
VASP energy = -5.848 eV per atom

[8]
First-principles (PBE) data for YMgZr2 after structural relaxation, as listed in Alexandria.

Cell: 5.5695 5.5695 5.8890 Å, 81.10 81.10 33.94°
Fractional positions:
Y  0.2459  0.2459  0.2613
Zr  0.0085  0.0085  0.9554
Zr  0.7518  0.7518  0.7799
Mg  0.4938  0.4938  0.5034

Computed properties:
VASP energy = -6.185 eV per atom

[9]
First-principles (PBE) data for HoTmNi2 after structural relaxation, as listed in Alexandria.

Cell: 4.7316 4.7316 4.7316 Å, 60.00 60.00 60.00°
Fractional positions:
Tm  0.5000  0.5000  0.5000
Ni  0.7500  0.7500  0.7500
Ho  0.0000  0.0000  0.0000
Ni  0.2500  0.2500  0.2500

Computed properties:
Energy above the lowest structure with this stoichiometry = 0.056 eV per atom

[10]
First-principles (PBE) data for Ba2TlSi2 after structural relaxation, as listed in Alexandria.

Cell: 8.5495 8.5495 4.5698 Å, 90.00 90.00 90.00°
Fractional positions:
Si  0.9056  0.5944  0.0000
Tl  0.5000  0.5000  0.0000
Ba  0.6920  0.8080  0.5000
Si  0.0944  0.4056  0.0000
Ba  0.3080  0.1920  0.5000
Si  0.4056  0.9056  0.0000
Ba  0.1920  0.6920  0.5000
Ba  0.8080  0.3080  0.5000
Tl  0.0000  0.0000  0.0000
Si  0.5944  0.0944  0.0000

Computed properties:
Energy above the lowest structure with this stoichiometry = 0.086 eV per atom
Uncorrected formation energy = -0.284 eV per atom

[11]
First-principles (PBE) data for AcSmAu after structural relaxation, as listed in Alexandria.

Cell: 3.8140 3.8140 7.0833 Å, 105.62 105.62 90.00°
Each line ends with the local moment (μB).
Fractional positions:
Au  0.6817  0.6817  0.3634  0.01
Ac  0.0180  0.0180  0.0360  0.06
Sm  0.3003  0.3003  0.6006  0.09

Computed properties:
Energy above the lowest structure with this stoichiometry = 0.043 eV per atom

[12]
First-principles (PBE) data for DyAlBIr2 after structural relaxation, as listed in Alexandria.

Cell: 3.9960 6.0034 7.2814 Å, 90.00 90.00 109.44°
Fractional positions:
Dy  0.5528  0.1056  0.2500
B  0.0000  0.0000  0.5000
B  0.0000  0.0000  0.0000
Ir  0.8339  0.6679  0.0583
Ir  0.1661  0.3321  0.9417
Ir  0.8339  0.6679  0.4417
Dy  0.4472  0.8944  0.7500
Al  0.2720  0.5440  0.2500
Ir  0.1661  0.3321  0.5583
Al  0.7280  0.4560  0.7500

Computed properties:
VASP energy = -7.321 eV per atom

[13]
First-principles (PBE) data for Tb2Ce3NpN6 after structural relaxation, as listed in Alexandria.

Cell: 6.0838 6.0838 6.1220 Å, 99.55 99.55 119.97°
Each line ends with the local moment (μB).
Fractional positions:
N  0.6034  0.9211  0.7634  -0.06
N  0.3966  0.0789  0.2366  -0.06
N  0.2385  0.2385  0.7611  -0.06
Ce  0.5000  0.5000  0.5000  0.35
N  0.7615  0.7615  0.2389  -0.06
Tb  0.6664  0.3336  0.0000  0.05
N  0.0789  0.3966  0.2366  -0.06
N  0.9211  0.6034  0.7634  -0.06
Ce  0.1679  0.8321  0.5000  0.35
Ce  0.8321  0.1679  0.5000  0.35
Np  0.0000  0.0000  0.0000  2.76
Tb  0.3336  0.6664  0.0000  0.05

Computed properties:
Uncorrected formation energy = -1.484 eV per atom

[14]
First-principles (PBE) data for La6PrIr4 after structural relaxation, as listed in Alexandria.

Cell: 6.1955 6.1718 9.6039 Å, 114.92 109.32 88.88°
Fractional positions:
Ir  0.6097  0.6564  0.7227
Ir  0.8682  0.3437  0.2774
Pr  0.9998  0.0095  0.0065
La  0.5517  0.1227  0.6597
La  0.1692  0.5013  0.9992
La  0.0491  0.5571  0.6223
La  0.8883  0.8788  0.3410
La  0.4902  0.9869  0.9930
Ir  0.3646  0.9099  0.2915
La  0.4297  0.4429  0.3764
Ir  0.0796  0.0910  0.7100

Computed properties:
VASP energy = -6.817 eV per atom

[15]
First-principles (PBE) data for PmReNi after structural relaxation, as listed in Alexandria.

Cell: 6.9672 7.9032 7.9032 Å, 67.95 63.85 63.85°
Fractional positions:
Pm  0.8485  0.7500  0.2500
Pm  0.6746  0.0427  0.5427
Re  0.0449  0.6133  0.6133
Re  0.4827  0.5000  0.5000
Re  0.0449  0.1134  0.1133
Ni  0.5788  0.1662  0.1662
Ni  0.9112  0.3338  0.3338
Ni  0.2397  0.7500  0.2500
Pm  0.8485  0.2500  0.7500
Ni  0.2397  0.2500  0.7500
Pm  0.2600  0.4573  0.9573
Pm  0.6746  0.5427  0.0427
Re  0.4827  0.0000  0.0000
Pm  0.2600  0.9573  0.4573
Re  0.2716  0.8866  0.8867
Re  0.2716  0.3867  0.3866
Ni  0.9112  0.8338  0.8338
Ni  0.5788  0.6662  0.6662

Computed properties:
VASP energy = -7.532 eV per atom

[16]
First-principles (PBE) data for PmSc2Hg after structural relaxation, as listed in Alexandria.

Cell: 4.6338 4.6439 4.6439 Å, 90.00 90.00 90.00°
Each line ends with the local moment (μB).
Fractional positions:
Hg  0.5000  0.5000  0.5000  0.00
Pm  0.5000  0.0000  0.0000  0.15
Sc  0.0000  0.5000  0.0000  0.20
Sc  0.0000  0.0000  0.5000  0.20

Computed properties:
Energy above the lowest structure with this stoichiometry = 0.033 eV per atom

[17]
First-principles (PBE) data for Hg3IN after structural relaxation, as listed in Alexandria.

Cell: 4.9612 4.9612 4.9612 Å, 90.00 90.00 90.00°
Fractional positions:
I  0.5000  0.5000  0.5000
N  0.0000  0.0000  0.0000
Hg  0.0000  0.5000  0.0000
Hg  0.5000  0.0000  0.0000
Hg  0.0000  0.0000  0.5000

Computed properties:
Energy above the lowest structure with this stoichiometry = 0.181 eV per atom
Uncorrected formation energy = 0.597 eV per atom

[18]
First-principles (PBE) data for ZnReIr6 after structural relaxation, as listed in Alexandria.

Cell: 3.8741 3.8741 7.7450 Å, 90.00 90.00 90.00°
Fractional positions:
Ir  0.0000  0.5000  0.2552
Ir  0.5000  0.5000  0.0000
Zn  0.0000  0.0000  0.0000
Ir  0.5000  0.0000  0.2552
Ir  0.5000  0.5000  0.5000
Ir  0.0000  0.5000  0.7448
Ir  0.5000  0.0000  0.7448
Re  0.0000  0.0000  0.5000

Computed properties:
VASP energy = -8.481 eV per atom

[19]
First-principles (PBE) data for MgIn2S4 after structural relaxation, as listed in Alexandria.

Cell: 7.6474 7.6474 7.6474 Å, 108.35 108.35 111.74°
Fractional positions:
In  0.6250  0.2619  0.1369
Mg  0.0000  0.0000  0.0000
S  0.3623  0.1180  0.7595
Mg  0.2500  0.7500  0.5000
S  0.3586  0.6028  0.2405
S  0.8877  0.1472  0.2558
S  0.3680  0.1123  0.2595
In  0.5119  0.3750  0.6369
S  0.8528  0.1086  0.7405
S  0.3972  0.6377  0.7558
S  0.8820  0.6414  0.2442
S  0.8914  0.6320  0.7442
In  0.1250  0.4881  0.8631
In  0.7381  0.8750  0.3631

Computed properties:
Uncorrected formation energy = -0.767 eV per atom

[20]
First-principles (PBE) data for BaCuOs2 after structural relaxation, as listed in Alexandria.

Cell: 4.7187 4.7187 4.7187 Å, 60.00 60.00 60.00°
Each line ends with the local moment (μB).
Fractional positions:
Cu  0.0000  0.0000  0.0000  0.15
Os  0.7500  0.7500  0.7500  0.89
Ba  0.5000  0.5000  0.5000  0.03
Os  0.2500  0.2500  0.2500  0.89

Computed properties:
Energy above the lowest structure with this stoichiometry = 1.485 eV per atom

[21]
First-principles (PBE) data for Te2MoW2Se2S2 after structural relaxation, as listed in Alexandria.

Cell: 3.3473 3.3473 23.1160 Å, 90.00 90.00 120.00°
Fractional positions:
Se  0.3333  0.6667  0.1055
W  0.0000  0.0000  0.6649
Mo  0.0000  0.0000  0.0334
Te  0.3333  0.6667  0.7474
S  0.0000  0.0000  0.2769
W  0.3333  0.6667  0.3426
Te  0.3333  0.6667  0.5823
S  0.0000  0.0000  0.4084
Se  0.3333  0.6667  0.9614

Computed properties:
Energy above the lowest structure with this stoichiometry = 0.028 eV per atom
Uncorrected formation energy = -0.474 eV per atom

[22]
First-principles (PBE) data for Cd2TeP after structural relaxation, as listed in Alexandria.

Cell: 5.6760 5.0584 4.4975 Å, 74.98 70.71 114.47°
Fractional positions:
P  0.0000  0.5000  0.5000
Te  0.5000  0.5000  0.0000
Cd  0.5000  0.0000  0.5000
Cd  0.0000  0.0000  0.0000

Computed properties:
Energy above the lowest structure with this stoichiometry = 0.229 eV per atom
Uncorrected formation energy = 0.162 eV per atom

[23]
First-principles (PBE) data for LiPmTlSn after structural relaxation, as listed in Alexandria.

Cell: 4.5018 4.6243 4.8483 Å, 90.00 90.00 90.00°
Fractional positions:
Li  0.5000  0.0000  0.5000
Tl  0.0000  0.5000  0.5000
Sn  0.0000  0.0000  0.0000
Pm  0.5000  0.5000  0.0000

Computed properties:
Energy above the lowest structure with this stoichiometry = 0.000 eV per atom

[24]
First-principles (PBE) data for TaAuSN2 after structural relaxation, as listed in Alexandria.

Cell: 3.9470 3.9470 5.3503 Å, 90.00 90.00 90.00°
Each line ends with the local moment (μB).
Fractional positions:
Ta  0.0000  0.0000  0.0000  -0.07
N  0.0000  0.5000  0.0000  0.33
N  0.5000  0.0000  0.0000  0.33
S  0.0000  0.0000  0.5000  0.02
Au  0.5000  0.5000  0.5000  0.03

Computed properties:
Energy above the lowest structure with this stoichiometry = 0.000 eV per atom
Uncorrected formation energy = 0.379 eV per atom